Co2ReCl | PBE | relaxed

Size of the total moment   0.5271 μB/atom
ρ   11.20 Mg/m³
Raw total energy   -6.32 eV/atom
E_form (uncorrected)   3.2 eV/f.u.
Space-group type   No. 71

a = 4.924 Å, b = 4.924 Å, c = 4.924 Å
α = 147.64°, β = 127.26°, γ = 63.25°
Positions (direct):
Re 0.750 0.250 0.500
Co 0.016 0.016 0.000
Co 0.484 0.484 0.000
Cl 0.250 0.750 0.500